# NbNi2B, optimized geometry, DFT PBE
# - Symmetry: I-42d
# - Density: 7.59 g cm⁻³
# - Fermi-level density of states: 8.1 states/eV/cell
# - Total moment: 0.00 μB per formula unit
# - Formation enthalpy at 0 K: 0.0253 eV/atom
data_NbNi2B
_chemical_formula_sum 'Nb2 Ni4 B2'
_space_group_name_H-M_alt 'P 1'
_space_group_IT_number 1
_cell_length_a 6.461
_cell_length_b 6.461
_cell_length_c 5.123
_cell_angle_alpha 50.91
_cell_angle_beta 50.91
_cell_angle_gamma 90.00
loop_
_space_group_symop_operation_xyz
'x,y,z'
loop_
_atom_site_label
_atom_site_fract_x
_atom_site_fract_y
_atom_site_fract_z
Ni1 0.534 0.125 0.250
Ni2 0.216 0.625 0.250
B1 0.250 0.750 0.500
B2 0.500 0.500 0.000
Nb1 0.750 0.250 0.500
Nb2 0.000 0.000 0.000
Ni3 0.875 0.784 0.750
Ni4 0.375 0.466 0.750